Density functional theory data (PBE) for a relaxed structure of Mg3Cd3NiAg2.

Geometry as POSCAR:
```
Mg3Cd3NiAg2
1.0
7.9022 0.0000 0.0000
-3.9511 6.8435 0.0000
0.0000 0.0000 3.1779
Mg Cd Ni Ag
3 3 1 2
Direct
0.0000 0.3715 0.0000
0.3715 0.0000 0.0000
0.6285 0.6285 0.0000
0.0000 0.7239 0.5000
0.2761 0.2761 0.5000
0.7239 0.0000 0.5000
0.0000 0.0000 0.0000
0.3333 0.6667 0.5000
0.6667 0.3333 0.5000
```

Results
- Formation energy: -0.1222 eV per atom
- Raw total energy: -2.235 eV per atom